(1)
TbCuAgTe3: relaxed, PBE.

Summary:
ρ, g cm⁻³: 7.26
DOS at the Fermi energy, states/eV/atom: 0.52
E, eV/atom: -4.051
Space-group type: P2_1/m (11)

abc: 4.193 8.700 8.991
angles: 96.02 90.00 90.00
Fractional positions:
1 Te 0.750 0.400 0.162
2 Te 0.250 0.760 0.488
3 Ag 0.250 0.641 0.158
4 Te 0.750 0.898 0.135
5 Cu 0.750 0.938 0.430
6 Te 0.250 0.600 0.838
7 Tb 0.750 0.847 0.761
8 Cu 0.250 0.062 0.570
9 Te 0.750 0.240 0.512
10 Te 0.250 0.102 0.865
11 Tb 0.250 0.153 0.239
12 Ag 0.750 0.359 0.842

(2)
Th5Mn2Hg2: relaxed, PBE.

Summary:
ρ, g cm⁻³: 11.57
DOS at the Fermi energy, states/eV/atom: 0.99
Space-group type: Cmce (64)
DFT formation energy, meV per atom: -55

abc: 7.546 7.798 8.984
angles: 90.00 65.17 90.00
Fractional positions:
1 Th 0.000 0.000 0.000
2 Mn 0.860 0.631 0.000
3 Th 0.954 0.336 0.777
4 Th 0.046 0.664 0.223
5 Th 0.270 0.664 0.777
6 Th 0.454 0.164 0.777
7 Hg 0.218 0.000 0.565
8 Mn 0.140 0.369 0.000
9 Hg 0.282 0.500 0.435
10 Th 0.730 0.336 0.223
11 Mn 0.360 0.869 0.000
12 Th 0.500 0.500 0.000
13 Th 0.230 0.164 0.223
14 Th 0.546 0.836 0.223
15 Hg 0.718 0.500 0.565
16 Hg 0.782 0.000 0.435
17 Th 0.770 0.836 0.777
18 Mn 0.640 0.131 0.000

(3)
Cd2TcW: relaxed, PBE.

Summary:
ρ, g cm⁻³: 11.91
Offset from the most stable computed form, meV/atom: 253
DOS at the Fermi energy, states/eV/atom: 0.58
Space-group type: Cm (8)
DFT formation energy, meV per atom: 512

abc: 4.860 4.860 5.394
angles: 84.21 84.21 33.88
Fractional positions:
1 Cd 0.000 0.000 0.990
2 W 0.251 0.251 0.284
3 Cd 0.752 0.752 0.761
4 Tc 0.497 0.497 0.465

(4)
NdDyCuRu: relaxed, PBE.

Summary:
ρ, g cm⁻³: 8.77
DOS at the Fermi energy, states/eV/atom: 0.75
Space-group type: Amm2 (38)
DFT formation energy, meV per atom: -238

abc: 3.970 4.212 5.693
angles: 90.00 110.41 90.00
Fractional positions:
1 Cu 0.570 0.500 0.139
2 Nd 0.146 0.000 0.291
3 Dy 0.863 0.500 0.726
4 Ru 0.422 0.000 0.843

(5)
MnTe2Pt: relaxed, PBE.

Summary:
ρ, g cm⁻³: 7.96
Offset from the most stable computed form, meV/atom: 0
DOS at the Fermi energy, states/eV/atom: 0.47
Space-group type: Immm (71)

abc: 6.997 6.997 6.997
angles: 146.89 145.54 48.54
Fractional positions:
1 Pt 0.250 0.750 0.500
2 Mn 0.750 0.250 0.500
3 Te 0.107 0.107 0.000
4 Te 0.393 0.393 0.000

(6)
Cs8Rb3Au3: relaxed, PBE.

Summary:
ρ, g cm⁻³: 3.05
DOS at the Fermi energy, states/eV/atom: 0.80
Space-group type: C2/m (12)
DFT formation energy, meV per atom: -114

abc: 7.214 13.748 13.057
angles: 57.48 73.96 74.79
Fractional positions:
1 Cs 0.154 0.551 0.140
2 Au 0.680 0.589 0.051
3 Rb 0.723 0.286 0.267
4 Cs 0.642 0.891 0.824
5 Cs 0.526 0.638 0.309
6 Cs 0.878 0.797 0.447
7 Au 0.000 0.500 0.500
8 Cs 0.474 0.362 0.691
9 Rb 0.277 0.714 0.733
10 Rb 0.000 0.000 0.000
11 Cs 0.846 0.449 0.860
12 Cs 0.358 0.109 0.176
13 Au 0.320 0.411 0.949
14 Cs 0.122 0.203 0.553

(7)
TeCl2F: relaxed, PBE.

Summary:
ρ, g cm⁻³: 4.92
Offset from the most stable computed form, meV/atom: 0
DOS at the Fermi energy, states/eV/atom: 0.40
Space-group type: Fm-3m (225)

abc: 4.701 4.701 4.701
angles: 60.00 60.00 60.00
Fractional positions:
1 Te 0.500 0.500 0.500
2 Cl 0.250 0.250 0.250
3 Cl 0.750 0.750 0.750
4 F 0.000 0.000 0.000

(8)
La2Tm3Mg: relaxed, PBE.

Summary:
ρ, g cm⁻³: 7.01
DOS at the Fermi energy, states/eV/atom: 1.22
Space-group type: Cmcm (63)
DFT formation energy, meV per atom: 121

abc: 7.713 7.713 10.108
angles: 97.38 139.70 80.33
Fractional positions:
1 La 0.645 0.084 0.250
2 Tm 0.188 0.312 0.500
3 Tm 0.688 0.312 0.000
4 La 0.355 0.916 0.750
5 Tm 0.202 0.952 0.250
6 Mg 0.934 0.684 0.250
7 Tm 0.798 0.048 0.750
8 Tm 0.312 0.688 0.000
9 La 0.667 0.606 0.750
10 Tm 0.812 0.688 0.500
11 Mg 0.066 0.316 0.750
12 La 0.333 0.394 0.250

(9)
RbZrOs2Ru: relaxed, PBE.

Summary:
ρ, g cm⁻³: 10.58
DOS at the Fermi energy, states/eV/atom: 1.27
Space-group type: P4/mmm (123)
DFT formation energy, meV per atom: 3368

abc: 4.642 4.792 4.642
angles: 90.00 90.00 90.00
Fractional positions:
1 Ru 0.500 0.500 0.500
2 Os 0.000 0.000 0.500
3 Rb 0.000 0.000 0.000
4 Zr 0.000 0.500 0.000
5 Os 0.500 0.000 0.000

(10)
CaSbP2: relaxed, PBE.

Summary:
ρ, g cm⁻³: 4.33
DOS at the Fermi energy, states/eV/atom: 0.48
E, eV/atom: -4.405
Space-group type: I-4m2 (119)

abc: 5.987 5.987 5.987
angles: 140.60 140.60 56.94
Fractional positions:
1 P 0.250 0.750 0.500
2 Ca 0.750 0.250 0.500
3 Sb 0.500 0.500 0.000
4 P 0.000 0.000 0.000

(11)
CeTl2TeO6: relaxed, PBE.

Summary:
ρ, g cm⁻³: 8.35
E, eV/atom: -5.982
Space-group type: Fm-3m (225)

abc: 6.013 6.012 8.502
angles: 90.00 90.00 90.00
Fractional positions:
1 O 0.768 0.518 0.000
2 Ce 0.000 0.750 0.500
3 Te 0.000 0.750 0.000
4 O 0.732 0.482 0.500
5 Tl 0.500 0.750 0.750
6 O 0.232 0.982 0.000
7 O 0.768 0.982 0.000
8 O 0.268 0.018 0.500
9 O 0.500 0.250 0.268
10 Tl 0.500 0.750 0.250
11 O 0.232 0.518 0.000
12 Ce 0.500 0.250 0.000
13 Te 0.500 0.250 0.500
14 Tl 0.000 0.250 0.750
15 O 0.000 0.750 0.232
16 O 0.500 0.250 0.732
17 O 0.268 0.482 0.500
18 O 0.732 0.018 0.500
19 O 0.000 0.750 0.768
20 Tl 0.000 0.250 0.250

(12)
TaCr2Ag: relaxed, PBE.

Summary:
ρ, g cm⁻³: 9.38
Offset from the most stable computed form, meV/atom: 744
DOS at the Fermi energy, states/eV/atom: 0.75
Space-group type: I-42d (122)
DFT formation energy, meV per atom: 1009

abc: 7.005 7.005 5.707
angles: 52.14 52.14 90.00
Fractional positions:
1 Ta 0.000 0.000 0.000
2 Cr 0.120 0.625 0.250
3 Ag 0.500 0.500 0.000
4 Ta 0.750 0.250 0.500
5 Cr 0.375 0.370 0.750
6 Cr 0.630 0.125 0.250
7 Ag 0.250 0.750 0.500
8 Cr 0.875 0.880 0.750

(13)
KSb2Os: relaxed, PBE.

Summary:
ρ, g cm⁻³: 7.52
Offset from the most stable computed form, meV/atom: 450
DOS at the Fermi energy, states/eV/atom: 1.00
Space-group type: P4mm (99)

abc: 3.306 3.306 9.555
angles: 90.00 90.00 90.00
Fractional positions:
1 Sb 0.500 0.500 0.225
2 K 0.000 0.000 0.535
3 Os 0.500 0.500 0.804
4 Sb 0.000 0.000 0.936

(14)
Sr2Cu3Br2O4: relaxed, PBE.

Summary:
ρ, g cm⁻³: 4.67
DOS at the Fermi energy, states/eV/atom: 0.28
E, eV/atom: -4.961
Space-group type: I4/mmm (139)

abc: 7.912 7.912 7.912
angles: 139.19 139.19 59.09
Fractional positions:
1 O 0.750 0.250 0.000
2 Sr 0.630 0.630 0.000
3 O 0.250 0.250 0.500
4 Cu 0.000 0.500 0.500
5 Br 0.250 0.750 0.500
6 Sr 0.370 0.370 0.000
7 O 0.750 0.750 0.500
8 Cu 0.500 0.000 0.500
9 Cu 0.000 0.000 0.000
10 O 0.250 0.750 0.000
11 Br 0.750 0.250 0.500

(15)
Ba2SrIr: relaxed, PBE.

Summary:
ρ, g cm⁻³: 5.45
Offset from the most stable computed form, meV/atom: 214
DOS at the Fermi energy, states/eV/atom: 0.85
Space-group type: Cmmm (65)
DFT formation energy, meV per atom: 43

abc: 3.893 3.893 11.143
angles: 90.00 90.00 89.78
Fractional positions:
1 Ir 0.500 0.500 0.250
2 Sr 0.500 0.500 0.750
3 Ba 0.000 0.000 0.408
4 Ba 0.000 0.000 0.092

(16)
SrLaAsSe2: relaxed, PBE.

Summary:
ρ, g cm⁻³: 4.60
Offset from the most stable computed form, meV/atom: 424
DOS at the Fermi energy, states/eV/atom: 0.82
Space-group type: P4/mmm (123)

abc: 5.550 5.550 5.385
angles: 90.00 90.00 90.00
Fractional positions:
1 Se 0.000 0.500 0.000
2 Se 0.500 0.000 0.000
3 La 0.500 0.500 0.500
4 As 0.000 0.000 0.500
5 Sr 0.000 0.000 0.000

(17)
LaZr3Nb: relaxed, PBE.

Summary:
ρ, g cm⁻³: 5.89
Offset from the most stable computed form, meV/atom: 0
DOS at the Fermi energy, states/eV/atom: 2.66
Space-group type: Pm-3m (221)
DFT formation energy, meV per atom: 568

abc: 5.224 5.224 5.224
angles: 90.00 90.00 90.00
Fractional positions:
1 Zr 0.000 0.500 0.000
2 Zr 0.500 0.000 0.000
3 Zr 0.000 0.000 0.500
4 Nb 0.000 0.000 0.000
5 La 0.500 0.500 0.500

(18)
BeHg2Te: relaxed, PBE.

Summary:
ρ, g cm⁻³: 6.44
Offset from the most stable computed form, meV/atom: 0
DOS at the Fermi energy, states/eV/atom: 0.00
Space-group type: Cm (8)

abc: 4.006 4.006 10.251
angles: 78.83 78.83 59.92
Fractional positions:
1 Te 0.545 0.545 0.378
2 Hg 0.990 0.990 0.016
3 Be 0.220 0.220 0.355
4 Hg 0.745 0.745 0.751

(19)
BaIn2Fe: relaxed, PBE.

Summary:
ρ, g cm⁻³: 6.89
DOS at the Fermi energy, states/eV/atom: 1.41
Space-group type: P2/m (10)
DFT formation energy, meV per atom: 95

abc: 3.606 3.457 8.870
angles: 67.17 90.00 90.00
Fractional positions:
1 Ba 0.500 0.250 0.250
2 In 0.000 0.431 0.571
3 Fe 0.500 0.750 0.750
4 In 0.000 0.069 0.929

(20)
Pr6HoHg5: relaxed, PBE.

Summary:
ρ, g cm⁻³: 9.47
DOS at the Fermi energy, states/eV/atom: 1.33
Space-group type: Immm (71)
DFT formation energy, meV per atom: -350

abc: 5.430 7.855 9.557
angles: 114.26 106.51 90.00
Fractional positions:
1 Pr 0.828 0.083 0.656
2 Pr 0.172 0.917 0.344
3 Hg 0.669 0.669 0.338
4 Ho 0.000 0.000 0.000
5 Hg 0.331 0.331 0.662
6 Hg 0.351 0.851 0.701
7 Pr 0.828 0.573 0.656
8 Pr 0.500 0.730 0.000
9 Pr 0.172 0.427 0.344
10 Pr 0.500 0.270 0.000
11 Hg 0.649 0.149 0.299
12 Hg 0.000 0.500 0.000